Material: Ru2PbSe
Method: DFT, PBEsol
State: relaxed

extended XYZ file:
```
4
Lattice="3.183 -0.002 0.000 -0.122 5.113 0.000 -1.531 -2.556 4.292" Properties=species:S:1:pos:R:3 pbc="T T T"
Pb -0.061 2.557 0.000
Ru -0.765 -1.278 2.146
Ru 0.765 1.278 2.146
Se 1.592 -0.001 0.000
```

## Properties
As for the total moment: 0.00 μB/f.u. The uncorrected formation energy is 3.032 eV/f.u. The value obtained for the relative energy among the computed polymorphs is 520 meV/atom.


Material: NaTe2Pt
Method: DFT, PBEsol
State: relaxed

extended XYZ file:
```
8
Lattice="6.056 0.000 0.000 3.028 5.839 0.000 3.028 0.000 5.839" Properties=species:S:1:pos:R:3 pbc="T T T"
Na 3.028 0.000 0.000
Na 4.542 2.920 2.920
Te 8.326 5.373 2.453
Te 2.271 0.467 3.386
Te 6.812 3.386 5.373
Te 6.812 2.453 0.467
Pt 0.000 0.000 0.000
Pt 7.569 2.920 2.920
```

## Properties
As for the total moment: 0.00 μB/f.u. The uncorrected formation energy is -1.555 eV/f.u.


Material: TaTeRu2
Method: DFT, PBEsol
State: relaxed

extended XYZ file:
```
4
Lattice="-3.046 0.559 0.697 -1.188 -3.643 -2.265 2.528 -0.957 4.586" Properties=species:S:1:pos:R:3 pbc="T T T"
Ru -1.721 -3.944 2.872
Ru -1.314 -0.990 2.281
Ta -2.111 -1.576 -0.731
Te -0.381 -3.112 0.831
```

## Properties
As for the total moment: 0.00 μB/f.u. The uncorrected formation energy is 0.512 eV/f.u.


Material: SrSi2H
Method: DFT, PBEsol
State: relaxed

extended XYZ file:
```
8
Lattice="-4.629 1.301 3.217 -0.073 -1.322 5.631 0.320 4.203 3.962" Properties=species:S:1:pos:R:3 pbc="T T T"
Sr -3.287 3.136 9.608
Sr -2.191 2.091 6.405
Si -0.388 2.624 3.582
Si -0.548 0.523 1.601
Si -2.862 1.173 3.210
Si -0.584 -0.138 4.417
H -1.096 1.045 3.203
H 0.000 0.000 0.000
```

## Properties
As for the total moment: 0.00 μB/f.u. The value obtained for the raw total energy is -4.05 eV/atom.


Material: RuS2Br
Method: DFT, PBEsol
State: relaxed

extended XYZ file:
```
8
Lattice="-4.679 -0.728 4.221 2.916 -5.076 -2.410 3.836 -3.493 3.650" Properties=species:S:1:pos:R:3 pbc="T T T"
Ru 0.825 -5.704 4.699
Ru 0.000 0.000 0.000
S 0.258 -5.640 2.600
S 5.402 -6.886 1.515
S -0.605 -4.420 5.718
S -0.910 -1.648 1.091
Br 1.247 -3.593 0.763
Br -0.422 -2.111 3.936
```

## Properties
As for the total moment: 0.00 μB/f.u. The uncorrected formation energy is 0.138 eV/f.u.


Material: TiPt3
Method: DFT, PBEsol
State: relaxed

extended XYZ file:
```
16
Lattice="5.514 0.000 0.000 -2.757 4.776 0.000 0.000 0.000 8.985" Properties=species:S:1:pos:R:3 pbc="T T T"
Ti 0.000 0.000 0.000
Ti 0.000 0.000 4.492
Ti 0.000 3.184 2.246
Ti 2.757 1.592 6.739
Pt 1.379 2.388 0.000
Pt -1.379 2.388 0.000
Pt 2.757 0.000 0.000
Pt 1.379 2.388 4.492
Pt -1.379 2.388 4.492
Pt 2.757 0.000 4.492
Pt 1.380 0.797 2.246
Pt 2.757 3.182 2.246
Pt 4.134 0.797 2.246
Pt 1.377 3.979 6.739
Pt 0.000 1.594 6.739
Pt -1.377 3.979 6.739
```

## Properties
The calculated formation energy is -0.877 eV/atom. As for the total moment: 0.00 μB/f.u.


Material: SrAlBr
Method: DFT, PBEsol
State: relaxed

extended XYZ file:
```
3
Lattice="3.723 0.000 0.000 0.000 5.137 0.000 0.000 -2.569 4.449" Properties=species:S:1:pos:R:3 pbc="T T T"
Sr 1.246 2.569 1.483
Al 3.108 0.000 0.000
Br 3.093 0.000 2.966
```

## Properties
As for the total moment: 0.00 μB/f.u. The uncorrected formation energy is -1.261 eV/f.u.


Material: CaAlHg
Method: DFT, PBEsol
State: relaxed

extended XYZ file:
```
3
Lattice="-1.766 -0.118 3.132 4.020 -0.807 2.235 -1.465 4.384 -0.660" Properties=species:S:1:pos:R:3 pbc="T T T"
Ca 0.363 2.654 0.305
Hg 1.309 0.865 2.836
Al -0.883 -0.059 1.566
```

## Properties
The calculated formation energy is -0.449 eV/atom. As for the total moment: 0.00 μB/f.u.


Material: InSn3Br
Method: DFT, PBEsol
State: relaxed

extended XYZ file:
```
5
Lattice="5.502 0.000 0.000 0.000 5.502 0.000 0.000 0.000 5.502" Properties=species:S:1:pos:R:3 pbc="T T T"
Sn 0.000 2.751 0.000
Sn 0.000 0.000 2.751
Sn 2.751 0.000 0.000
Br 0.000 0.000 0.000
In 2.751 2.751 2.751
```

## Properties
As for the total moment: 0.00 μB/f.u. The uncorrected formation energy is 2.716 eV/f.u.


Material: Zr2TaGaGe
Method: DFT, PBEsol
State: relaxed

extended XYZ file:
```
5
Lattice="-1.353 3.512 2.300 -3.096 1.206 -3.663 -3.545 -2.738 2.096" Properties=species:S:1:pos:R:3 pbc="T T T"
Ge 0.000 0.000 0.000
Ga -0.676 1.756 1.150
Zr -1.773 -1.369 1.048
Zr -1.548 0.603 -1.831
Ta -3.997 0.990 0.366
```

## Properties
The calculated formation energy is 0.676 eV/atom. As for the total moment: 0.00 μB/f.u.


Material: TaMo
Method: DFT, PBEsol
State: relaxed

extended XYZ file:
```
6
Lattice="4.504 0.000 0.000 2.252 4.809 -0.005 2.252 1.693 4.519" Properties=species:S:1:pos:R:3 pbc="T T T"
Mo 2.252 1.637 0.030
Mo 2.252 3.251 2.257
Mo 6.756 4.865 4.483
Ta 4.504 4.802 2.210
Ta 0.000 0.000 0.000
Ta 4.504 1.699 2.304
```

## Properties
The calculated formation energy is -0.156 eV/atom. As for the total moment: 0.00 μB/f.u.


Material: AsIr2Rh
Method: DFT, PBEsol
State: relaxed

extended XYZ file:
```
4
Lattice="-2.045 -1.636 1.015 1.898 -1.961 0.664 0.826 3.004 6.509" Properties=species:S:1:pos:R:3 pbc="T T T"
As 0.543 0.443 5.696
Ir 0.822 2.988 6.475
Ir 0.133 -1.049 2.464
Rh 0.421 1.529 3.314
```

## Properties
The calculated formation energy is 0.123 eV/atom. As for the total moment: 0.00 μB/f.u.


Material: BeTcIr2
Method: DFT, PBEsol
State: relaxed

extended XYZ file:
```
4
Lattice="2.738 0.000 0.000 0.000 4.329 0.000 0.000 0.000 4.448" Properties=species:S:1:pos:R:3 pbc="T T T"
Be 0.000 2.164 2.224
Ir 0.000 0.000 0.000
Ir 1.369 0.000 2.224
Tc 1.369 2.164 0.000
```

## Properties
The calculated formation energy is 0.139 eV/atom. As for the total moment: 0.00 μB/f.u.


Material: CaLa2Si2
Method: DFT, PBEsol
State: relaxed

extended XYZ file:
```
10
Lattice="-3.422 -0.611 1.971 -0.476 -7.532 -3.162 4.198 -2.943 6.377" Properties=species:S:1:pos:R:3 pbc="T T T"
Ca 0.000 0.000 0.000
Ca 1.861 -5.237 1.608
Si 3.337 -4.956 4.258
Si 2.405 -8.235 1.623
Si 0.385 -5.519 -1.043
Si 1.317 -2.239 1.592
La 0.885 -3.177 4.604
La 1.624 -7.627 4.507
La -0.586 -7.909 0.582
La -1.324 -3.458 0.679
```

## Properties
As for the total moment: 0.00 μB/f.u. The uncorrected formation energy is -2.834 eV/f.u.


Material: Sc2HgMo
Method: DFT, PBEsol
State: relaxed

extended XYZ file:
```
4
Lattice="-0.025 1.504 -2.622 -2.999 -3.602 -2.038 -3.466 2.485 3.201" Properties=species:S:1:pos:R:3 pbc="T T T"
Hg -4.970 1.247 0.762
Mo -2.456 1.680 -0.756
Sc -0.289 -0.081 -0.044
Sc -3.752 -1.022 -0.551
```

## Properties
The calculated formation energy is 0.013 eV/atom. As for the total moment: 0.00 μB/f.u.


Material: Zr3BeCo
Method: DFT, PBEsol
State: relaxed

extended XYZ file:
```
5
Lattice="4.578 0.000 0.000 0.000 4.578 0.000 0.000 0.000 4.578" Properties=species:S:1:pos:R:3 pbc="T T T"
Be 0.000 0.000 0.000
Co 2.289 2.289 2.289
Zr 0.000 2.289 0.000
Zr 0.000 0.000 2.289
Zr 2.289 0.000 0.000
```

## Properties
The calculated formation energy is 0.682 eV/atom. As for the total moment: 1.52 μB/f.u.


Material: HfBi
Method: DFT, PBEsol
State: relaxed

extended XYZ file:
```
12
Lattice="-1.404 3.321 -1.039 -3.492 -4.136 -1.727 -7.102 0.853 12.318" Properties=species:S:1:pos:R:3 pbc="T T T"
Hf -1.393 -0.261 1.047
Hf -10.604 0.299 8.505
Hf -8.633 0.062 5.086
Hf -3.364 -0.024 4.466
Hf -5.172 -1.792 1.260
Hf -6.825 1.830 8.292
Bi -4.060 0.940 1.712
Bi -7.937 -0.901 7.840
Bi -5.795 1.429 5.620
Bi -6.202 -1.391 3.932
Bi -3.362 -1.732 -0.994
Bi -8.635 1.770 10.546
```

## Properties
The calculated formation energy is -0.248 eV/atom. As for the total moment: 0.00 μB/f.u.


Material: TaPt2Au
Method: DFT, PBEsol
State: relaxed

extended XYZ file:
```
4
Lattice="-1.491 0.646 -2.318 1.531 -4.116 -2.132 -4.146 -0.878 2.423" Properties=species:S:1:pos:R:3 pbc="T T T"
Au -2.053 -2.174 -1.014
Pt 0.765 -2.058 -1.066
Pt -2.073 -0.439 1.211
Ta -0.745 0.323 -1.159
```

## Properties
The calculated formation energy is -0.303 eV/atom. As for the total moment: 0.00 μB/f.u. The value obtained for the relative energy among the computed polymorphs is 205 meV/atom.


Material: MnNb3Br
Method: DFT, PBEsol
State: relaxed

extended XYZ file:
```
5
Lattice="4.623 0.000 0.000 0.000 4.623 0.000 0.000 0.000 4.623" Properties=species:S:1:pos:R:3 pbc="T T T"
Nb 0.000 2.311 0.000
Nb 0.000 0.000 2.311
Nb 2.311 0.000 0.000
Mn 0.000 0.000 0.000
Br 2.311 2.311 2.311
```

## Properties
As for the total moment: 0.00 μB/f.u. The uncorrected formation energy is 4.847 eV/f.u.


Material: Ca3MgNb
Method: DFT, PBEsol
State: relaxed

extended XYZ file:
```
5
Lattice="5.522 0.000 0.000 0.000 5.522 0.000 0.000 0.000 5.522" Properties=species:S:1:pos:R:3 pbc="T T T"
Mg 2.761 2.761 2.761
Nb 0.000 0.000 0.000
Ca 0.000 2.761 0.000
Ca 0.000 0.000 2.761
Ca 2.761 0.000 0.000
```

## Properties
The calculated formation energy is 0.847 eV/atom. As for the total moment: 0.00 μB/f.u.


Material: Li2VFeO4
Method: DFT, PBEsol
State: relaxed

extended XYZ file:
```
8
Lattice="2.846 0.000 0.000 0.000 5.108 0.168 0.000 -1.621 4.391" Properties=species:S:1:pos:R:3 pbc="T T T"
Li 0.000 0.000 0.000
Li 1.423 -0.810 2.196
Fe 0.000 1.744 2.280
O 0.000 3.372 1.194
O 1.423 2.532 3.350
O 0.000 0.116 3.365
O 1.423 0.956 1.209
V 1.423 2.554 0.084
```

## Properties
As for the total moment: 1.00 μB/f.u. The uncorrected formation energy is -15.611 eV/f.u. The value obtained for the relative energy among the computed polymorphs is 9 meV/atom.


Material: Rb3NiAu
Method: DFT, PBEsol
State: relaxed

extended XYZ file:
```
5
Lattice="6.338 0.000 0.000 0.000 6.338 0.000 0.000 0.000 6.338" Properties=species:S:1:pos:R:3 pbc="T T T"
Ni 3.169 3.169 3.169
Au 0.000 0.000 0.000
Rb 0.000 3.169 0.000
Rb 0.000 0.000 3.169
Rb 3.169 0.000 0.000
```

## Properties
The calculated formation energy is 0.644 eV/atom. As for the total moment: 0.35 μB/f.u.


Material: AlCrFe
Method: DFT, PBEsol
State: relaxed

extended XYZ file:
```
3
Lattice="-1.159 -1.761 -1.368 0.534 -1.013 2.237 -4.895 3.208 1.632" Properties=species:S:1:pos:R:3 pbc="T T T"
Cr -2.107 -0.759 1.147
Fe -3.439 1.203 1.365
Al -5.493 0.426 2.491
```

## Properties
The calculated formation energy is 0.008 eV/atom. As for the total moment: 1.72 μB/f.u.


Material: NiHgPt2
Method: DFT, PBEsol
State: relaxed

extended XYZ file:
```
4
Lattice="2.816 0.000 0.000 0.000 2.816 0.000 0.000 0.000 7.543" Properties=species:S:1:pos:R:3 pbc="T T T"
Hg 0.000 0.000 3.910
Ni 1.408 1.408 5.771
Pt 0.000 0.000 7.387
Pt 1.408 1.408 1.789
```

## Properties
The calculated formation energy is 0.051 eV/atom. As for the total moment: 0.58 μB/f.u.


Material: Ba2CaTl2
Method: DFT, PBEsol
State: relaxed

extended XYZ file:
```
10
Lattice="-0.101 -0.090 -4.350 -7.793 -5.294 0.290 -5.297 7.796 -0.038" Properties=species:S:1:pos:R:3 pbc="T T T"
Tl -7.436 4.813 0.073
Tl -10.106 0.362 0.227
Tl -5.655 -2.311 0.179
Tl -2.984 2.140 0.025
Ca 0.000 0.000 0.000
Ca -6.545 1.251 0.126
Ba -4.825 4.259 -2.153
Ba -9.649 2.979 -2.015
Ba -8.367 -1.847 -1.945
Ba -3.542 -0.566 -2.083
```

## Properties
The calculated formation energy is -0.333 eV/atom. As for the total moment: 0.00 μB/f.u.